TiNiSe2 | PBE | optimized geometry

The structure in CIF format:
```
data_TiNiSe2
_space_group_name_H-M_alt 'R -3 m'
_space_group_IT_number 166
_space_group_name_Hall '-R 3 2"'
_cell_length_a 3.4973
_cell_length_b 3.4973
_cell_length_c 23.0008
_cell_angle_alpha 90.00
_cell_angle_beta 90.00
_cell_angle_gamma 120.00
loop_
_atom_site_label
_atom_site_type_symbol
_atom_site_fract_x
_atom_site_fract_y
_atom_site_fract_z
Ti1 Ti 0.0000 0.0000 0.0000
Ni1 Ni 0.0000 0.0000 0.5000
Se1 Se 0.0000 0.0000 0.4018
```

Energy relative to the elements, uncorrected: -505 meV/atom

***

TiNiSe2 | PBE | optimized geometry

The structure in CIF format:
```
data_TiNiSe2
_space_group_name_H-M_alt 'F m -3 m'
_space_group_IT_number 225
_space_group_name_Hall '-F 4 2 3'
_cell_length_a 6.3372
_cell_length_b 6.3372
_cell_length_c 6.3372
_cell_angle_alpha 90.00
_cell_angle_beta 90.00
_cell_angle_gamma 90.00
loop_
_atom_site_label
_atom_site_type_symbol
_atom_site_fract_x
_atom_site_fract_y
_atom_site_fract_z
Ti1 Ti 0.0000 0.0000 0.0000
Ni1 Ni 0.0000 0.0000 0.5000
Se1 Se 0.2500 0.2500 0.2500
```

Energy relative to the elements, uncorrected: -335 meV/atom

***

Ti5Ni3Se12 | PBE | optimized geometry

The structure in CIF format:
```
data_Ti5Ni3Se12
_space_group_name_H-M_alt 'I a -3 d'
_space_group_IT_number 230
_space_group_name_Hall '-I 4bd 2c 3'
_cell_length_a 15.2404
_cell_length_b 15.2404
_cell_length_c 15.2404
_cell_angle_alpha 90.00
_cell_angle_beta 90.00
_cell_angle_gamma 90.00
loop_
_atom_site_label
_atom_site_type_symbol
_atom_site_fract_x
_atom_site_fract_y
_atom_site_fract_z
Ti1 Ti 0.0000 0.0000 0.0000
Ti2 Ti 0.0000 0.2500 0.3750
Ni1 Ni 0.0000 0.2500 0.1250
Se1 Se 0.0306 0.0763 0.6475
```

Energy relative to the elements, uncorrected: -399 meV/atom

***

Ti2NiSe | PBE | optimized geometry

The structure in CIF format:
```
data_Ti2NiSe
_space_group_name_H-M_alt 'I -4 2 d'
_space_group_IT_number 122
_space_group_name_Hall 'I -4 2bw'
_cell_length_a 6.7612
_cell_length_b 6.7612
_cell_length_c 5.5792
_cell_angle_alpha 90.00
_cell_angle_beta 90.00
_cell_angle_gamma 90.00
loop_
_atom_site_label
_atom_site_type_symbol
_atom_site_fract_x
_atom_site_fract_y
_atom_site_fract_z
Ti1 Ti 0.2377 0.7500 0.1250
Ni1 Ni 0.0000 0.0000 0.0000
Se1 Se 0.0000 0.0000 0.5000
```

Energy relative to the elements, uncorrected: -290 meV/atom

***

TiTl2Ni2Se4 | PBE | optimized geometry

The structure in CIF format:
```
data_TiTl2Ni2Se4
_space_group_name_H-M_alt 'C 1 2/m 1'
_space_group_IT_number 12
_cell_length_a 13.6039
_cell_length_b 3.7095
_cell_length_c 8.1175
_cell_angle_alpha 90.00
_cell_angle_beta 105.67
_cell_angle_gamma 90.00
loop_
_space_group_symop_operation_xyz
'x,y,z'
'-x,-y,-z'
'-x,y,-z'
'x,-y,z'
'x+1/2,y+1/2,z'
'-x+1/2,-y+1/2,-z'
'-x+1/2,y+1/2,-z'
'x+1/2,-y+1/2,z'
loop_
_atom_site_label
_atom_site_type_symbol
_atom_site_fract_x
_atom_site_fract_y
_atom_site_fract_z
Ti1 Ti 0.0000 0.0000 0.0000
Tl1 Tl 0.1375 0.0000 0.5677
Ni1 Ni 0.1740 0.5000 0.9838
Se1 Se 0.0157 0.5000 0.7768
Se2 Se 0.1941 0.0000 0.1673
```

Energy relative to the elements, uncorrected: -562 meV/atom

***

TiTlNiSe3 | PBE | optimized geometry

The structure in CIF format:
```
data_TiTlNiSe3
_space_group_name_H-M_alt 'P 1 21/m 1'
_space_group_IT_number 11
_cell_length_a 8.6774
_cell_length_b 3.6710
_cell_length_c 9.6043
_cell_angle_alpha 90.00
_cell_angle_beta 114.83
_cell_angle_gamma 90.00
loop_
_space_group_symop_operation_xyz
'x,y,z'
'-x,-y,-z'
'-x,y+1/2,-z'
'x,-y+1/2,z'
loop_
_atom_site_label
_atom_site_type_symbol
_atom_site_fract_x
_atom_site_fract_y
_atom_site_fract_z
Ti1 Ti 0.2018 0.2500 0.1700
Tl1 Tl 0.2538 0.7500 0.7473
Ni1 Ni 0.4133 0.7500 0.3971
Se1 Se 0.0293 0.2500 0.8645
Se2 Se 0.2811 0.2500 0.4565
Se3 Se 0.3941 0.7500 0.1427
```

Energy relative to the elements, uncorrected: -741 meV/atom

***

TiNiW2Se | PBE | optimized geometry

The structure in CIF format:
```
data_TiNiW2Se
_space_group_name_H-M_alt 'P 4/m m m'
_space_group_IT_number 123
_space_group_name_Hall '-P 4 2'
_cell_length_a 4.6479
_cell_length_b 4.6479
_cell_length_c 4.4201
_cell_angle_alpha 90.00
_cell_angle_beta 90.00
_cell_angle_gamma 90.00
loop_
_atom_site_label
_atom_site_type_symbol
_atom_site_fract_x
_atom_site_fract_y
_atom_site_fract_z
Ti1 Ti 0.0000 0.0000 0.0000
Ni1 Ni 0.0000 0.0000 0.5000
W1 W 0.0000 0.5000 0.0000
Se1 Se 0.5000 0.5000 0.5000
```

Energy relative to the elements, uncorrected: 1789 meV/atom

***

TiZn2NiSe | PBE | optimized geometry

The structure in CIF format:
```
data_TiZn2NiSe
_space_group_name_H-M_alt 'P 4/m m m'
_space_group_IT_number 123
_space_group_name_Hall '-P 4 2'
_cell_length_a 4.9929
_cell_length_b 4.9929
_cell_length_c 4.7114
_cell_angle_alpha 90.00
_cell_angle_beta 90.00
_cell_angle_gamma 90.00
loop_
_atom_site_label
_atom_site_type_symbol
_atom_site_fract_x
_atom_site_fract_y
_atom_site_fract_z
Ti1 Ti 0.0000 0.0000 0.0000
Zn1 Zn 0.0000 0.5000 0.0000
Ni1 Ni 0.5000 0.5000 0.5000
Se1 Se 0.0000 0.0000 0.5000
```

Energy relative to the elements, uncorrected: 765 meV/atom

***

Size of the total moment? In order: 1.19, 0.00, 32.93, 0.00, 0.00, 0.00, 0.00, 0.41 μB/cell.